{"formula": "Mo5C3", "functional": "PBE", "state": "optimized geometry", "lattice": [[3.487, -4.735, 0.000], [3.487, 4.735, 0.000], [0.000, 0.000, 3.013]], "species": ["Mo", "Mo", "Mo", "Mo", "Mo", "C", "C", "C"], "fractional_positions": [[0.000, 0.000, 0.000], [0.000, 0.500, 0.000], [0.307, 0.307, 0.500], [0.500, 0.000, 0.000], [0.693, 0.693, 0.500], [0.174, 0.826, 0.500], [0.500, 0.500, 0.000], [0.826, 0.174, 0.500]], "total_magnetization_mub_per_fu": 0.00, "dos_at_fermi_per_ev_cell": 5.97, "e_form_mev_per_atom": 601, "de_polymorph_mev_per_atom": 318, "spacegroup": "Cmmm"}

{"formula": "SrMgSe2", "functional": "PBE", "state": "optimized geometry", "lattice": [[2.386, 1.378, 7.832], [-2.386, 1.378, 7.832], [0.000, -2.755, 7.832]], "species": ["Sr", "Mg", "Se", "Se"], "fractional_positions": [[0.000, 0.000, 0.000], [0.500, 0.500, 0.500], [0.399, 0.399, 0.399], [0.601, 0.601, 0.601]], "total_magnetization_mub_per_fu": 0.00, "dos_at_fermi_per_ev_cell": 0.00, "raw_formation_energy_ev_per_atom": -1.25, "spacegroup": "R-3m"}